1.
! PBE TeC3, relaxed; values from VASP
&SYSTEM
  ibrav = 0, nat = 8, ntyp = 2
/
ATOMIC_SPECIES
C 12.01 C.upf
Te 127.60 Te.upf
ATOMIC_POSITIONS angstrom
C 0.000 0.000 0.720
C 0.000 1.845 0.000
Te 0.000 0.000 10.574
C 0.000 1.845 3.935
Te 0.000 0.000 5.166
C 1.845 0.000 3.935
C 0.000 0.000 15.021
C 1.845 0.000 0.000
CELL_PARAMETERS angstrom
-1.845 1.845 7.870
1.845 -1.845 7.870
1.845 1.845 -7.870
! Symmetry: I4/mmm, No. 139
! ΔE_f (raw) (eV per formula unit): 11.12
! D(E_F) (states/eV per atom): 0.5141
! Energy above the lowest structure with this stoichiometry (kJ/mol of formula units): 700

2.
! PBE K2OsAu, relaxed; values from VASP
&SYSTEM
  ibrav = 0, nat = 4, ntyp = 3
/
ATOMIC_SPECIES
K 39.10 K.upf
Os 190.23 Os.upf
Au 196.97 Au.upf
ATOMIC_POSITIONS angstrom
K 0.408 1.572 3.005
Os 0.000 0.000 0.000
K 1.224 4.715 9.015
Au 0.816 3.143 6.010
CELL_PARAMETERS angstrom
3.734 2.107 3.568
-1.235 4.566 2.956
-0.868 -0.386 5.496
! Symmetry: Fm-3m, No. 225
! E_form (eV/atom): 1.33
! D(E_F) (states/eV per atom): 2.6469
! Energy above the lowest structure with this stoichiometry (kJ/mol of formula units): 246